# 1
# BiHPd

An optimized crystal structure of BiHPd (PBE, the Alexandria database).

The structure belongs to space group C2/m (No. 12); the cell edges are 8.9391, 3.5357 and 7.9802 Å and the angles 90.00°, 119.96° and 90.00°. Symmetry generates all atoms from Bi at (0.1828, 0.0000, 0.2524), H at (0.1952, 0.0000, 0.5698) and Pd at (0.1081, 0.5000, 0.9167).

The crystal system is monoclinic.

# 2
# BiH2Pd

An optimized crystal structure of BiH2Pd (PBE, the Alexandria database).

The structure belongs to space group I-42d (No. 122); the cell edges are 4.7424, 4.7424 and 9.8474 Å and the angles 90.00°, 90.00° and 90.00°. Symmetry generates all atoms from Bi at (0.0000, 0.0000, 0.0000), H at (0.0694, 0.2500, 0.6250) and Pd at (0.0000, 0.0000, 0.5000).

The crystal system is tetragonal.

# 3
# BiHPd2

An optimized crystal structure of BiHPd2 (PBE, the Alexandria database).

The structure belongs to space group R3m (No. 160, hexagonal axes); the cell edges are 3.2897, 3.2897 and 19.9905 Å and the angles 90.00°, 90.00° and 120.00°. Symmetry generates all atoms from Bi at (0.0000, 0.0000, 0.0000), H at (0.0000, 0.0000, 0.8084), Pd at (0.0000, 0.0000, 0.2277) and Pd at (0.0000, 0.0000, 0.4544).

The crystal system is trigonal.

no.,offset from the most stable computed form (meV per atom)
1,262.5
2,0.0
3,153.4